Density functional theory data (PBE+U) for an optimized crystal structure of RbRuWO6.

Lattice parameters (Å, degrees): 5.2880 5.2880 6.3756 90.00 90.00 120.00
Space group P312 (No. 149)
One atom of each set of equivalent atoms:
Rb  0.0000  0.0000  0.0000 [1 per cell]
Ru  0.3333  0.6667  0.5000 [1 per cell]
W  0.6667  0.3333  0.5000 [1 per cell]
O  0.3889  0.0034  0.6719 [6 per cell]

For the total energy, the calculation gives -6.78 eV per atom. For the density of states at the Fermi level, the calculation gives 0.0519 states/eV per atom. For the calculated density, the calculation gives 5.0 g cm⁻³. The calculation puts the calculated volume at 17.2 Å³/atom. The magnetic moment is 3.02 μB/cell.